Record 1
Here is an optimized crystal structure of Mn2CdFeH from the Alexandria database. Energies are from GGA-PBE.

Results
* electronic total energy: -5.922 eV per atom
* volume: 12.4 Å³/atom
* offset from the most stable computed form: 0.60 eV per formula unit
* symmetry: Cm (8)
* size of the total moment: 17.5 Bohr magnetons per cell

Lattice parameters (Å, degrees): 9.246 2.900 4.738 90.00 78.31 90.00
Each line ends with the local moment (μB).
Positions (direct):
1 Cd 0.045 0.000 0.994  -0.04
2 Cd 0.045 0.500 0.494  -0.04
3 Mn 0.777 0.000 0.474  3.27
4 Mn 0.548 0.000 0.921  3.07
5 Mn 0.777 0.500 0.974  3.27
6 Mn 0.548 0.500 0.421  3.07
7 H 0.370 0.500 0.669  -0.03
8 H 0.370 0.000 0.169  -0.03
9 Fe 0.304 0.500 0.038  2.31
10 Fe 0.304 0.000 0.538  2.31



Record 2
Here is an optimized crystal structure of BAu2C from the Alexandria database. Energies are from GGA-PBE.

Results
* electronic total energy: -5.095 eV per atom
* volume: 13.6 Å³/atom
* offset from the most stable computed form: 0.91 eV per formula unit
* symmetry: Cm (8)
* E_form: 0.519 eV per atom
* size of the total moment: 0.0 Bohr magnetons per cell

Lattice parameters (Å, degrees): 2.847 2.980 13.104 90.00 102.37 90.00
Positions (direct):
1 C 0.564 0.500 0.950
2 C 0.564 0.000 0.450
3 Au 0.439 0.500 0.321
4 Au 0.244 0.000 0.133
5 Au 0.244 0.500 0.633
6 Au 0.439 0.000 0.821
7 B 0.110 0.500 0.996
8 B 0.110 0.000 0.496



Record 3
Here is an optimized crystal structure of ZnPt2 from the Alexandria database. Energies are from GGA-PBE.

Results
* electronic total energy: -4.649 eV per atom
* volume: 15.3 Å³/atom
* symmetry: I4/mcm (140)
* E_form: -0.197 eV per atom
* size of the total moment: 0.0 Bohr magnetons per cell

Lattice parameters (Å, degrees): 4.962 4.962 4.962 104.43 104.43 120.10
Positions (direct):
1 Pt 0.846 0.346 0.192
2 Pt 0.346 0.154 0.500
3 Pt 0.154 0.654 0.808
4 Pt 0.654 0.846 0.500
5 Zn 0.250 0.250 0.000
6 Zn 0.750 0.750 0.000



Record 4
Here is an optimized crystal structure of MgTl2P from the Alexandria database. Energies are from GGA-PBE.

Results
* electronic total energy: -2.982 eV per atom
* volume: 25.6 Å³/atom
* offset from the most stable computed form: 0.19 eV per formula unit
* symmetry: P4mm (99)
* E_form: -0.048 eV per atom
* size of the total moment: 0.0 Bohr magnetons per cell

Lattice parameters (Å, degrees): 3.596 3.596 7.915 90.00 90.00 89.98
Positions (direct):
1 Tl 0.000 0.000 0.969
2 Tl 0.500 0.500 0.289
3 Mg 0.000 0.000 0.579
4 P 0.500 0.500 0.663



Record 5
Here is an optimized crystal structure of RbH6S2O2 from the Alexandria database. Energies are from GGA-PBE.

Results
* electronic total energy: -4.300 eV per atom
* volume: 17.3 Å³/atom
* symmetry: P-1 (2)
* size of the total moment: 1.0 Bohr magnetons per cell

Lattice parameters (Å, degrees): 4.486 8.148 6.498 117.51 103.25 64.90
Each line ends with the local moment (μB).
Positions (direct):
1 H 0.777 0.367 0.600  0.00
2 H 0.940 0.688 0.890  0.00
3 H 0.342 0.714 0.663  0.00
4 H 0.658 0.286 0.337  0.00
5 H 0.223 0.633 0.400  0.00
6 H 0.060 0.312 0.110  0.00
7 O 0.194 0.757 0.544  0.01
8 O 0.806 0.243 0.456  0.01
9 S 0.275 0.363 0.058  0.29
10 S 0.725 0.637 0.942  0.29
11 Rb 0.500 0.000 0.500  0.00



Record 6
Here is an optimized crystal structure of Te2WIN from the Alexandria database. Energies are from GGA-PBE.

Results
* electronic total energy: -4.263 eV per atom
* volume: 20.7 Å³/atom
* offset from the most stable computed form: 5.99 eV per formula unit
* symmetry: P4/mmm (123)
* ΔE_f (raw): 7.796 eV per formula unit
* size of the total moment: 1.0 Bohr magnetons per cell

Lattice parameters (Å, degrees): 4.734 4.734 4.622 90.00 90.00 90.00
Each line ends with the local moment (μB).
Positions (direct):
1 I 0.000 0.000 0.500  -0.04
2 Te 0.000 0.500 0.000  -0.06
3 Te 0.500 0.000 0.000  -0.06
4 W 0.500 0.500 0.500  1.00
5 N 0.000 0.000 0.000  -0.01